The following is a PBE calculation of Ce3Pu2Pt4 after structural relaxation, from Alexandria via LeMat-Bulk. Values from VASP.

Structure (Quantum ESPRESSO input):
```
&SYSTEM
  ibrav = 0, nat = 18, ntyp = 3
/
ATOMIC_SPECIES
Pu 244.00 Pu.upf
Ce 140.12 Ce.upf
Pt 195.08 Pt.upf
ATOMIC_POSITIONS angstrom
Pu 3.831 -1.135 0.019
Pu 2.630 -4.625 1.309
Pu 7.795 -7.657 2.809
Pu 8.996 -4.167 1.519
Ce 1.040 -1.136 1.318
Ce 6.242 -2.756 1.147
Ce 9.972 -5.280 4.218
Ce 5.384 -6.036 1.681
Ce 1.654 -3.512 -1.390
Ce 10.586 -7.656 1.510
Pt 4.605 -4.246 -0.770
Pt 3.626 -2.093 2.740
Pt 6.120 -5.964 -2.488
Pt 3.778 -4.648 4.025
Pt 7.848 -4.144 -1.197
Pt 5.506 -2.828 5.316
Pt 7.022 -4.546 3.598
Pt 8.000 -6.699 0.088
CELL_PARAMETERS angstrom
-0.416 -5.761 -1.794
8.080 -0.252 -2.225
3.962 -2.779 6.847
```

Summary:
**Energy of formation from the pure elements**: -18.33 kcal/mol of atoms
**Space-group type**: No. 15
**Total moment**: 13.44 μB/f.u.